Density functional theory data (PBEsol) for a relaxed Zr2N2O crystal.

Properties
Its density of states at the Fermi level is 0.00 states/eV/f.u. The space-group type is Cc (9). For the size of the total moment, the calculation gives 0.0 μB/f.u. Its energy is -102.7 eV for the cell shown. Its theoretical density is 5.9 Mg/m³.

extended XYZ file:
```
10
Lattice="4.702 -2.778 0.000 4.702 2.778 0.000 -3.218 0.000 4.858" Properties=species:S:1:pos:R:3 pbc="T T T"
Zr -0.010 1.330 4.129
Zr 3.093 1.482 2.429
Zr 1.599 -1.330 1.700
Zr 4.702 -1.482 0.000
N 1.865 0.557 0.833
N 0.256 -0.557 3.262
N 7.922 0.252 0.921
N 6.313 -0.252 3.350
O 4.693 0.532 0.782
O 3.084 -0.532 3.211
```

Density functional theory data (PBEsol) for a relaxed Zn2OsSe crystal.

Properties
Its density of states at the Fermi level is 3.05 states/eV/f.u. The space-group type is I4/mmm (139). For the size of the total moment, the calculation gives 0.0 μB/f.u. Its energy is -17.5 eV for the cell shown. Its theoretical density is 11.4 Mg/m³.

extended XYZ file:
```
4
Lattice="-1.870 1.870 4.159 1.870 -1.870 4.159 1.870 1.870 -4.159" Properties=species:S:1:pos:R:3 pbc="T T T"
Zn 1.870 0.000 2.079
Zn 0.000 1.870 2.079
Os 0.000 0.000 0.000
Se 0.000 0.000 4.159
```

Density functional theory data (PBEsol) for a relaxed ZnReP2C crystal.

Properties
Its density of states at the Fermi level is 4.63 states/eV/f.u. The space-group type is P4/mmm (123). For the size of the total moment, the calculation gives 0.0 μB/f.u. Its energy is -26.4 eV for the cell shown. Its theoretical density is 7.5 Mg/m³.

extended XYZ file:
```
5
Lattice="4.573 0.000 0.000 0.000 4.573 0.000 0.000 0.000 3.457" Properties=species:S:1:pos:R:3 pbc="T T T"
Zn 0.000 0.000 0.000
Re 2.287 2.287 1.729
P 0.000 2.287 0.000
P 2.287 0.000 0.000
C 0.000 0.000 1.729
```